Record 1
{"formula": "Mg2MnCr", "functional": "PBE", "state": "optimized geometry", "cell": [[-2.090, 0.953, -2.320], [-3.561, -1.371, 2.645], [-0.202, 4.224, 1.917]], "species": ["Mg", "Mg", "Cr", "Mn"], "fractional_positions": [[0.000, 0.500, 0.500], [0.000, 0.000, 0.000], [0.500, 0.000, 0.500], [0.500, 0.500, 0.000]], "magmom_total_mub_per_fu": 7.06, "relative_energy_mev_per_atom": 276.0, "space_group": "No. 123", "vol_a3_per_cell": 70.4}

Record 2
{"formula": "ZrIrBr3", "functional": "PBE", "state": "optimized geometry", "cell": [[5.057, 0.000, 0.000], [0.000, 5.057, 0.000], [0.000, 0.000, 5.057]], "species": ["Br", "Br", "Br", "Ir", "Zr"], "fractional_positions": [[0.000, 0.500, 0.000], [0.000, 0.000, 0.500], [0.500, 0.000, 0.000], [0.000, 0.000, 0.000], [0.500, 0.500, 0.500]], "magmom_total_mub_per_fu": 2.25, "relative_energy_mev_per_atom": 78.3, "space_group": "No. 221", "vol_a3_per_cell": 129.3}

Record 3
{"formula": "Tb5CdRu4", "functional": "PBE", "state": "optimized geometry", "cell": [[-3.205, 1.047, 0.615], [-1.009, -1.330, -2.994], [-3.580, -15.774, 8.213]], "species": ["Tb", "Tb", "Tb", "Tb", "Tb", "Ru", "Ru", "Ru", "Ru", "Cd"], "fractional_positions": [[0.500, 0.500, 0.126], [0.500, 0.500, 0.687], [0.500, 0.500, 0.874], [0.500, 0.500, 0.500], [0.500, 0.500, 0.313], [0.000, 0.000, 0.787], [0.000, 0.000, 0.405], [0.000, 0.000, 0.213], [0.000, 0.000, 0.595], [0.000, 0.000, 0.000]], "total_energy_ev_per_atom": -6.4574, "magmom_total_mub_per_fu": 0.00, "space_group": "No. 123", "vol_a3_per_cell": 213.1}

Record 4
{"formula": "Nd4Ag3Hg", "functional": "PBE", "state": "optimized geometry", "cell": [[-0.717, -0.241, 3.699], [1.014, -5.247, -0.145], [10.290, 1.930, 2.120]], "species": ["Nd", "Nd", "Nd", "Nd", "Ag", "Ag", "Ag", "Hg"], "fractional_positions": [[0.000, 0.000, 0.500], [0.000, 0.500, 0.254], [0.000, 0.000, 0.000], [0.000, 0.500, 0.746], [0.500, 0.000, 0.749], [0.500, 0.000, 0.251], [0.500, 0.500, 0.500], [0.500, 0.500, 0.000]], "magmom_total_mub_per_fu": 0.01, "relative_energy_mev_per_atom": 0.0, "space_group": "No. 47", "vol_a3_per_cell": 215.6}

Q: Which formula does entry 2 have?
A: ZrIrBr3